Record 1
Density functional theory data (GGA-PBE) for a relaxed Cs2CaHg2 crystal.

Values from the calculation:
Offset from the most stable computed form ... 0.171 eV/atom
Total energy ... -8.34 eV for the cell shown
Formation enthalpy at 0 K ... 14 kJ/mol of formula units
ρ ... 4.92 Mg/m³

Lattice parameters (Å, degrees): 10.8336 10.8336 4.0655 90.00 90.00 90.00
Closest atoms and distances in Å follow each position.
Positions (direct):
Cs  0.1375  0.3625  0.0000  6 Hg 3.69-3.83, 2 Cs 4.07
Cs  0.3625  0.8625  0.0000  6 Hg 3.69-3.83, 2 Cs 4.07
Cs  0.6375  0.1375  0.0000  6 Hg 3.69-3.83, 2 Cs 4.07
Cs  0.8625  0.6375  0.0000  6 Hg 3.69-3.83, 2 Cs 4.07
Ca  0.0000  0.0000  0.0000  2 Ca 4.07, 4 Cs 4.20, 8 Hg 4.54
Ca  0.5000  0.5000  0.0000  2 Ca 4.07, 4 Cs 4.20, 8 Hg 4.54
Hg  0.1616  0.6616  0.5000  6 Cs 3.69-3.83, 2 Hg 4.07
Hg  0.3384  0.1616  0.5000  6 Cs 3.69-3.83, 2 Hg 4.07
Hg  0.6616  0.8384  0.5000  6 Cs 3.69-3.83, 2 Hg 4.07
Hg  0.8384  0.3384  0.5000  6 Cs 3.69-3.83, 2 Hg 4.07



Record 2
Density functional theory data (GGA-PBE) for a relaxed Pr4CoSn2 crystal.

Values from the calculation:
Total energy ... -36.99 eV for the cell shown
Formation enthalpy at 0 K ... -266 kJ/mol of formula units
ρ ... 6.51 Mg/m³

Lattice parameters (Å, degrees): 9.3450 9.3450 9.3450 148.72 148.72 44.82
Closest atoms and distances in Å follow each position.
Positions (direct):
Pr  0.0000  0.5000  0.5000  2 Co 2.52
Pr  0.1755  0.1755  0.0000  1 Co 3.03, 1 Sn 3.21
Pr  0.5000  0.0000  0.5000  2 Co 2.52
Pr  0.8245  0.8245  0.0000  1 Co 3.03, 1 Sn 3.21
Co  0.0000  0.0000  0.0000  4 Pr 2.52
Sn  0.3615  0.3615  0.0000  5 Pr 3.21-3.47
Sn  0.6385  0.6385  0.0000  5 Pr 3.21-3.47



Record 3
Density functional theory data (GGA-PBE) for a relaxed V2CoIr4 crystal.

Values from the calculation:
Total energy ... -61.74 eV for the cell shown
Formation enthalpy at 0 K ... -92 kJ/mol of formula units
ρ ... 15.31 Mg/m³

Lattice parameters (Å, degrees): 5.1754 5.1754 3.8129 90.00 90.00 99.19
Closest atoms and distances in Å follow each position.
Positions (direct):
V  0.2304  0.7696  0.0000  8 Ir 2.54-2.63, 2 Co 2.63
V  0.7696  0.2304  0.0000  8 Ir 2.54-2.63, 2 Co 2.63
Co  0.0000  0.0000  0.5000  8 Ir 2.59-2.69, 4 V 2.63
Ir  0.0000  0.5000  0.5000  4 V 2.54, 2 Co 2.59, 4 Ir 2.75
Ir  0.2838  0.2838  0.0000  4 V 2.57-2.63, 2 Co 2.69, 4 Ir 2.75
Ir  0.5000  0.0000  0.5000  4 V 2.54, 2 Co 2.59, 4 Ir 2.75
Ir  0.7162  0.7162  0.0000  4 V 2.57-2.63, 2 Co 2.69, 4 Ir 2.75